# PmPaCoAu

PmPaCoAu after structural relaxation (PBE, Alexandria via LeMat-Bulk).

Summary:
- Spin magnetization: 0.40 μB/cell
- DFT formation energy: -0.12 eV/atom

Unit cell a=4.9963 b=4.9963 c=4.9963 alpha=60.00 beta=60.00 gamma=60.00
Site moments in Bohr magnetons follow the coordinates.
Fractional coordinates of all 4 atoms:
Co 0.0000 0.0000 0.0000  0.62
Pa 0.7500 0.7500 0.7500  -0.69
Au 0.5000 0.5000 0.5000  -0.01
Pm 0.2500 0.2500 0.2500  -0.11